(1)
Entry from Alexandria: a geometry-optimized NaMg14Cd structure (PBE-GGA).

## Properties
- raw total energy (eV/atom) = -1.533
- crystal system = hexagonal

Unit cell a=6.367 b=6.367 c=10.553 alpha=90.00 beta=90.00 gamma=120.00
Element x y z (fractional)
Cd 0.000 0.000 0.500
Mg 0.168 0.335 0.746
Mg 0.498 0.502 0.000
Mg 0.502 0.003 0.500
Mg 0.004 0.502 0.000
Mg 0.667 0.333 0.243
Mg 0.498 0.996 0.000
Mg 0.168 0.335 0.254
Mg 0.168 0.832 0.254
Na 0.000 0.000 0.000
Mg 0.665 0.832 0.254
Mg 0.502 0.498 0.500
Mg 0.168 0.832 0.746
Mg 0.665 0.832 0.746
Mg 0.667 0.333 0.757
Mg 0.997 0.498 0.500

=====

(2)
Entry from Alexandria: a geometry-optimized NpUGa structure (PBE-GGA).

## Properties
- raw total energy (eV/atom) = -9.034
- crystal system = trigonal

Unit cell a=3.538 b=3.538 c=6.030 alpha=90.00 beta=90.00 gamma=120.00
Element x y z (fractional)
U 0.667 0.333 0.386
Np 0.333 0.667 0.618
Ga 0.000 0.000 0.996

=====

(3)
Entry from Alexandria: a geometry-optimized Te2PdNCl structure (PBE-GGA).

## Properties
- raw total energy (eV/atom) = -3.625
- crystal system = tetragonal
- ΔE_f (raw) (eV/atom) = 0.7050

Unit cell a=5.667 b=5.667 c=3.660 alpha=90.00 beta=90.00 gamma=90.00
Element x y z (fractional)
Te 0.500 0.000 0.000
Te 0.000 0.500 0.000
Pd 0.000 0.000 0.000
N 0.000 0.000 0.500
Cl 0.500 0.500 0.500

=====

(4)
Entry from Alexandria: a geometry-optimized HoPu2CrC4 structure (PBE-GGA).

## Properties
- raw total energy (eV/atom) = -9.935
- crystal system = orthorhombic

Unit cell a=3.485 b=5.867 c=12.016 alpha=90.00 beta=90.00 gamma=107.28
Site moments in Bohr magnetons follow the coordinates.
Element x y z (fractional)
Ho 0.892 0.784 0.250  0.05
C 0.265 0.529 0.369  -0.12
C 0.422 0.843 0.750  -0.10
C 0.000 0.000 0.500  -0.27
C 0.000 0.000 0.000  -0.27
Ho 0.108 0.216 0.750  0.05
Cr 0.837 0.674 0.750  0.64
Pu 0.369 0.737 0.544  4.36
C 0.735 0.471 0.631  -0.12
C 0.735 0.471 0.869  -0.12
C 0.265 0.529 0.131  -0.12
Pu 0.369 0.737 0.956  4.36
Cr 0.163 0.326 0.250  0.64
Pu 0.631 0.263 0.456  4.36
Pu 0.631 0.263 0.044  4.36
C 0.578 0.157 0.250  -0.10

=====

(5)
Entry from Alexandria: a geometry-optimized Sc4ZnInAg2 structure (PBE-GGA).

## Properties
- raw total energy (eV/atom) = -4.720
- crystal system = trigonal

Unit cell a=4.882 b=4.882 c=8.456 alpha=73.22 beta=73.22 gamma=60.00
Element x y z (fractional)
Ag 0.749 0.749 0.754
Sc 0.129 0.129 0.612
Zn 0.500 0.500 0.500
In 0.000 0.000 0.000
Sc 0.620 0.620 0.139
Sc 0.871 0.871 0.388
Sc 0.380 0.380 0.861
Ag 0.251 0.251 0.246

=====

(6)
Entry from Alexandria: a geometry-optimized MgRhSe2 structure (PBE-GGA).

## Properties
- raw total energy (eV/atom) = -4.449
- crystal system = tetragonal
- ΔE_f (raw) (eV/atom) = -0.4704

Unit cell a=5.626 b=5.626 c=7.345 alpha=67.48 beta=67.48 gamma=90.00
Element x y z (fractional)
Rh 0.750 0.250 0.500
Se 0.096 0.625 0.250
Se 0.875 0.904 0.750
Rh 0.000 0.000 0.000
Mg 0.250 0.750 0.500
Se 0.375 0.346 0.750
Mg 0.500 0.500 0.000
Se 0.654 0.125 0.250

=====

(7)
Entry from Alexandria: a geometry-optimized Re2SiI structure (PBE-GGA).

## Properties
- raw total energy (eV/atom) = -6.916
- crystal system = tetragonal
- ΔE_f (raw) (eV/atom) = 1.0514

Unit cell a=4.372 b=4.372 c=8.776 alpha=75.58 beta=75.58 gamma=90.00
Element x y z (fractional)
I 0.000 0.000 0.000
Si 0.250 0.750 0.500
Re 0.543 0.125 0.250
Re 0.875 0.793 0.750
Re 0.207 0.625 0.250
Re 0.375 0.457 0.750
I 0.750 0.250 0.500
Si 0.500 0.500 0.000

=====

(8)
Entry from Alexandria: a geometry-optimized Tl12P3I5 structure (PBE-GGA).

## Properties
- raw total energy (eV/atom) = -2.655
- crystal system = cubic
- ΔE_f (raw) (eV/atom) = -0.0365

Unit cell a=16.845 b=16.845 c=16.845 alpha=109.47 beta=109.47 gamma=109.47
Element x y z (fractional)
Tl 0.846 0.888 0.067
P 0.625 0.250 0.375
Tl 0.433 0.778 0.821
P 0.875 0.750 0.125
P 0.375 0.750 0.625
Tl 0.778 0.346 0.958
I 0.625 0.750 0.875
I 0.000 0.000 0.000
Tl 0.542 0.821 0.388
I 0.500 0.500 0.500
Tl 0.346 0.567 0.388
Tl 0.888 0.042 0.821
Tl 0.567 0.346 0.888
Tl 0.067 0.679 0.722
P 0.250 0.625 0.875
I 0.250 0.875 0.125
P 0.375 0.625 0.250
I 0.375 0.125 0.750
Tl 0.042 0.154 0.222
Tl 0.154 0.112 0.933
Tl 0.821 0.542 0.888
Tl 0.612 0.933 0.654
I 0.875 0.625 0.750
Tl 0.567 0.222 0.179
I 0.000 0.000 0.500
Tl 0.112 0.154 0.433
Tl 0.846 0.958 0.278
P 0.625 0.375 0.750
P 0.125 0.250 0.875
Tl 0.542 0.722 0.654
Tl 0.112 0.958 0.179
Tl 0.821 0.278 0.433
Tl 0.222 0.654 0.042
I 0.875 0.250 0.625
Tl 0.278 0.821 0.933
P 0.750 0.375 0.125
Tl 0.321 0.388 0.042
Tl 0.067 0.388 0.846
Tl 0.433 0.654 0.112
Tl 0.654 0.222 0.542
I 0.750 0.625 0.375
Tl 0.388 0.067 0.346
I 0.000 0.500 0.500
I 0.375 0.250 0.125
P 0.875 0.125 0.250
Tl 0.722 0.542 0.154
Tl 0.933 0.321 0.278
I 0.250 0.375 0.625
Tl 0.458 0.278 0.346
I 0.625 0.875 0.250
Tl 0.388 0.321 0.542
Tl 0.933 0.612 0.154
Tl 0.958 0.112 0.679
P 0.750 0.875 0.625
Tl 0.722 0.179 0.067
Tl 0.154 0.042 0.722
Tl 0.679 0.067 0.222
Tl 0.278 0.458 0.846
I 0.750 0.125 0.875
Tl 0.958 0.846 0.778
Tl 0.654 0.433 0.612
Tl 0.612 0.679 0.458
I 0.000 0.500 0.000
P 0.125 0.875 0.750
Tl 0.458 0.179 0.612
I 0.500 0.500 0.000
P 0.250 0.125 0.375
I 0.125 0.375 0.250
Tl 0.888 0.846 0.567
Tl 0.179 0.458 0.112
Tl 0.042 0.888 0.321
I 0.500 0.000 0.500
Tl 0.179 0.722 0.567
I 0.500 0.000 0.000
Tl 0.321 0.933 0.778
Tl 0.679 0.612 0.958
Tl 0.346 0.778 0.458
Tl 0.222 0.567 0.679
I 0.125 0.750 0.375
Tl 0.778 0.433 0.321

=====

(9)
Entry from Alexandria: a geometry-optimized RbAgPd3 structure (PBE-GGA).

## Properties
- raw total energy (eV/atom) = -2.420
- crystal system = cubic

Unit cell a=5.144 b=5.144 c=5.144 alpha=90.00 beta=90.00 gamma=90.00
Element x y z (fractional)
Pd 0.000 0.500 0.000
Pd 0.500 0.000 0.000
Rb 0.000 0.000 0.000
Pd 0.000 0.000 0.500
Ag 0.500 0.500 0.500

=====

(10)
Entry from Alexandria: a geometry-optimized Na2Ti3Cl8 structure (PBE-GGA).

## Properties
- raw total energy (eV/atom) = -4.670
- crystal system = monoclinic
- ΔE_f (raw) (eV/atom) = -1.5089

Unit cell a=5.958 b=7.902 c=7.902 alpha=52.41 beta=78.57 gamma=78.57
Site moments in Bohr magnetons follow the coordinates.
Element x y z (fractional)
Cl 0.615 0.351 0.870  0.00
Na 0.667 0.264 0.264  0.00
Cl 0.615 0.870 0.351  0.00
Cl 0.385 0.130 0.649  0.00
Cl 0.385 0.649 0.130  0.00
Cl 0.101 0.595 0.595  0.00
Na 0.333 0.736 0.736  0.00
Cl 0.115 0.121 0.121  0.00
Ti 0.000 0.206 0.794  -0.49
Cl 0.899 0.405 0.405  0.00
Ti 0.000 0.794 0.206  -0.49
Cl 0.885 0.879 0.879  0.00
Ti 0.500 0.000 0.000  1.02

=====

(11)
Entry from Alexandria: a geometry-optimized TcTe3P structure (PBE-GGA).

## Properties
- raw total energy (eV/atom) = -3.802
- crystal system = cubic
- ΔE_f (raw) (eV/atom) = 1.2385

Unit cell a=5.050 b=5.050 c=5.050 alpha=90.00 beta=90.00 gamma=90.00
Element x y z (fractional)
Te 0.000 0.500 0.000
P 0.000 0.000 0.000
Te 0.000 0.000 0.500
Tc 0.500 0.500 0.500
Te 0.500 0.000 0.000

=====

(12)
Entry from Alexandria: a geometry-optimized TlSb2P2 structure (PBE-GGA).

## Properties
- raw total energy (eV/atom) = -4.096
- crystal system = tetragonal
- ΔE_f (raw) (eV/atom) = 0.1901

Unit cell a=5.086 b=5.086 c=6.432 alpha=66.71 beta=66.71 gamma=90.00
Element x y z (fractional)
Sb 0.339 0.339 0.322
P 0.750 0.250 0.500
P 0.250 0.750 0.500
Tl 0.000 0.000 0.000
Sb 0.661 0.661 0.678

=====

(13)
Entry from Alexandria: a geometry-optimized NpAl2AgAu2 structure (PBE-GGA).

## Properties
- raw total energy (eV/atom) = -5.191
- crystal system = trigonal

Unit cell a=4.460 b=4.460 c=6.850 alpha=90.00 beta=90.00 gamma=120.00
Site moments in Bohr magnetons follow the coordinates.
Element x y z (fractional)
Np 0.000 0.000 0.000  3.94
Ag 0.000 0.000 0.500  0.02
Al 0.667 0.333 0.320  0.00
Au 0.333 0.667 0.263  0.02
Al 0.333 0.667 0.680  0.00
Au 0.667 0.333 0.737  0.02

=====

(14)
Entry from Alexandria: a geometry-optimized GaOs4 structure (PBE-GGA).

## Properties
- raw total energy (eV/atom) = -7.391
- crystal system = cubic

Unit cell a=4.409 b=4.409 c=4.409 alpha=90.00 beta=90.00 gamma=90.00
Element x y z (fractional)
Os 0.000 0.500 0.500
Ga 0.500 0.500 0.500
Os 0.500 0.500 0.000
Os 0.000 0.000 0.000
Os 0.500 0.000 0.500

=====

(15)
Entry from Alexandria: a geometry-optimized LaBeBiN2 structure (PBE-GGA).

## Properties
- raw total energy (eV/atom) = -4.703
- crystal system = tetragonal
- ΔE_f (raw) (eV/atom) = 1.1337

Unit cell a=4.197 b=4.767 c=4.197 alpha=90.00 beta=90.00 gamma=90.00
Site moments in Bohr magnetons follow the coordinates.
Element x y z (fractional)
La 0.000 0.500 0.000  -0.06
N 0.000 0.000 0.500  0.26
Bi 0.500 0.500 0.500  -0.10
Be 0.000 0.000 0.000  -0.03
N 0.500 0.000 0.000  0.35

=====

(16)
Entry from Alexandria: a geometry-optimized Ac2AlZn4Cu3 structure (PBE-GGA).

## Properties
- raw total energy (eV/atom) = -3.177
- crystal system = tetragonal

Unit cell a=4.324 b=4.324 c=10.787 alpha=90.00 beta=90.00 gamma=90.00
Element x y z (fractional)
Zn 0.000 0.000 0.000
Zn 0.500 0.000 0.631
Cu 0.000 0.000 0.500
Cu 0.500 0.000 0.870
Ac 0.000 0.500 0.754
Cu 0.000 0.500 0.130
Zn 0.500 0.500 0.000
Al 0.500 0.500 0.500
Zn 0.000 0.500 0.369
Ac 0.500 0.000 0.246

=====

(17)
Entry from Alexandria: a geometry-optimized InCuTc4 structure (PBE-GGA).

## Properties
- raw total energy (eV/atom) = -7.568
- crystal system = cubic

Unit cell a=5.170 b=5.170 c=5.170 alpha=60.00 beta=60.00 gamma=60.00
Element x y z (fractional)
In 0.000 0.000 0.000
Cu 0.250 0.250 0.250
Tc 0.624 0.624 0.127
Tc 0.127 0.624 0.624
Tc 0.624 0.624 0.624
Tc 0.624 0.127 0.624

=====

(18)
Entry from Alexandria: a geometry-optimized KTlSi2 structure (PBE-GGA).

## Properties
- raw total energy (eV/atom) = -3.378
- crystal system = tetragonal
- ΔE_f (raw) (eV/atom) = 0.1991

Unit cell a=3.517 b=3.517 c=8.027 alpha=90.00 beta=90.00 gamma=90.00
Element x y z (fractional)
Tl 0.000 0.000 0.443
K 0.500 0.500 0.780
Si 0.000 0.000 0.093
Si 0.500 0.500 0.184

=====

(19)
Entry from Alexandria: a geometry-optimized InNi5 structure (PBE-GGA).

## Properties
- raw total energy (eV/atom) = -5.224
- crystal system = tetragonal

Unit cell a=3.000 b=3.000 c=8.303 alpha=90.00 beta=90.00 gamma=90.00
Site moments in Bohr magnetons follow the coordinates.
Element x y z (fractional)
Ni 0.000 0.000 0.500  0.58
Ni 0.000 0.000 0.198  0.11
Ni 0.500 0.500 0.649  0.50
Ni 0.500 0.500 0.351  0.50
In 0.500 0.500 0.000  -0.01
Ni 0.000 0.000 0.802  0.11

=====

(20)
Entry from Alexandria: a geometry-optimized PaCu3Ge2 structure (PBE-GGA).

## Properties
- raw total energy (eV/atom) = -5.408
- crystal system = monoclinic

Unit cell a=4.027 b=7.843 c=7.173 alpha=115.39 beta=90.00 gamma=104.87
Site moments in Bohr magnetons follow the coordinates.
Element x y z (fractional)
Cu 0.691 0.381 0.460  0.00
Cu 0.043 0.086 0.389  0.00
Cu 0.309 0.619 0.540  0.00
Ge 0.201 0.401 0.712  0.00
Ge 0.522 0.044 0.186  0.00
Cu 0.397 0.795 0.308  0.00
Ge 0.799 0.599 0.288  0.00
Cu 0.957 0.914 0.611  0.00
Ge 0.478 0.956 0.814  0.00
Pa 0.856 0.712 0.934  0.08
Cu 0.603 0.205 0.692  0.00
Pa 0.144 0.288 0.066  0.08